1.
An optimized crystal structure of Tb2Pr3Y2, computed with PBE-GGA.

Values from the calculation:
energy of formation = 0.041 eV per atom
uncorrected energy = -36.24 eV/cell
energy above the lowest structure with this stoichiometry = 0.0000 eV per atom

```
7
Lattice="3.577 -0.003 -0.030 -1.817 7.714 -3.609 0.075 -0.549 8.873" Properties=species:S:1:pos:R:3 pbc="T T T"
Tb -0.008 5.494 -1.141
Tb 1.843 1.668 6.374
Pr 0.000 0.000 0.000
Pr 0.038 4.147 4.187
Pr 1.798 3.014 1.047
Y 0.027 0.857 3.315
Y 1.808 6.305 1.919
```



2.
An optimized crystal structure of LiLa2Lu, computed with PBE-GGA.

Values from the calculation:
energy of formation = 0.077 eV per atom
uncorrected energy = -15.98 eV/cell
energy above the lowest structure with this stoichiometry = 0.0000 eV per atom

```
4
Lattice="3.840 0.000 0.000 0.000 3.840 0.000 0.000 0.000 8.606" Properties=species:S:1:pos:R:3 pbc="T T T"
Lu 1.920 1.920 4.303
Li 1.920 1.920 0.000
La 0.000 0.000 6.585
La 0.000 0.000 2.020
```



3.
An optimized crystal structure of RbBeCr3, computed with PBE-GGA.

Values from the calculation:
energy of formation = 2.911 eV per atom
uncorrected energy = -19.01 eV/cell
energy above the lowest structure with this stoichiometry = 1.6259 eV per atom

```
5
Lattice="5.325 0.000 0.000 0.000 5.325 0.000 0.000 0.000 5.325" Properties=species:S:1:pos:R:3 pbc="T T T"
Cr 0.000 2.663 0.000
Cr 0.000 0.000 2.663
Cr 2.663 0.000 0.000
Rb 0.000 0.000 0.000
Be 2.663 2.663 2.663
```



4.
An optimized crystal structure of ZnSi2Ni, computed with PBE-GGA.

Values from the calculation:
uncorrected energy = -17.43 eV/cell

```
4
Lattice="4.544 0.016 0.000 -1.661 4.229 0.000 0.000 0.000 2.728" Properties=species:S:1:pos:R:3 pbc="T T T"
Ni -0.830 2.115 1.364
Si 0.000 0.000 0.000
Si 1.441 2.123 0.000
Zn 2.272 0.008 1.364
```



5.
An optimized crystal structure of Sr2CdWN, computed with PBE-GGA.

Values from the calculation:
uncorrected energy = -26.06 eV/cell

```
5
Lattice="-3.016 1.638 -4.374 1.729 -2.792 -2.238 -3.995 -3.601 1.406" Properties=species:S:1:pos:R:3 pbc="T T T"
Sr -1.998 -1.801 0.703
Sr -1.508 0.819 -2.187
N 0.000 0.000 0.000
W 0.864 -1.396 -1.119
Cd -2.641 -2.378 -2.603
```



6.
An optimized crystal structure of Sc2NbP2, computed with PBE-GGA.

Values from the calculation:
energy of formation = -1.120 eV per atom
uncorrected energy = -78.31 eV/cell

```
10
Lattice="6.712 0.000 0.000 0.000 6.712 0.000 0.000 0.000 3.729" Properties=species:S:1:pos:R:3 pbc="T T T"
Sc 1.131 4.487 1.864
Sc 4.487 5.581 1.864
Sc 5.581 2.225 1.864
Sc 2.225 1.131 1.864
P 2.447 5.803 0.000
P 5.803 4.265 0.000
P 4.265 0.909 0.000
P 0.909 2.447 0.000
Nb 0.000 0.000 0.000
Nb 3.356 3.356 0.000
```



7.
An optimized crystal structure of GeMoBr2, computed with PBE-GGA.

Values from the calculation:
uncorrected energy = -30.39 eV/cell
energy above the lowest structure with this stoichiometry = 0.3814 eV per atom

```
8
Lattice="6.718 0.000 0.000 0.000 6.718 0.000 3.359 3.359 4.971" Properties=species:S:1:pos:R:3 pbc="T T T"
Mo 0.000 0.000 0.000
Mo 6.718 3.359 2.485
Ge 3.359 3.359 0.000
Ge 3.359 6.718 2.485
Br 5.391 1.680 1.243
Br 1.327 5.039 1.243
Br 5.039 4.686 3.728
Br 8.398 8.751 3.728
```



8.
An optimized crystal structure of InFe2Rh, computed with PBE-GGA.

Values from the calculation:
energy of formation = 0.298 eV per atom
uncorrected energy = -25.82 eV/cell

```
4
Lattice="8.816 -0.013 -0.008 8.365 2.785 -0.008 8.365 1.350 2.436" Properties=species:S:1:pos:R:3 pbc="T T T"
Fe 0.123 0.020 0.012
Fe 12.651 2.041 1.199
In 6.387 1.030 0.605
Rh 19.160 3.091 1.816
```



9.
An optimized crystal structure of CsLi2SmI6, computed with PBE-GGA.

Values from the calculation:
uncorrected energy = -32.31 eV/cell

```
10
Lattice="-2.110 -0.049 -7.315 2.584 -6.378 3.256 -8.200 -0.080 6.343" Properties=species:S:1:pos:R:3 pbc="T T T"
Cs -4.754 -3.261 -2.625
Li -7.047 -4.338 5.977
Li -8.551 -2.218 2.434
Sm -7.563 -6.490 2.177
I -5.238 -6.083 4.183
I -2.160 -0.392 -2.114
I -1.123 -4.661 -2.312
I -0.574 -2.564 1.441
I -6.825 -3.911 0.628
I -6.278 -1.815 4.382
```



10.
An optimized crystal structure of LiUGaBr6, computed with PBE-GGA.

Values from the calculation:
uncorrected energy = -73.93 eV/cell

```
18
Lattice="-2.709 2.727 6.002 5.605 -4.393 0.294 8.538 10.822 -1.064" Properties=species:S:1:pos:R:3 pbc="T T T"
Li 4.968 0.686 1.930
Li 6.466 8.471 3.301
U 2.197 3.059 3.833
U 9.237 6.097 1.398
Ga 0.000 0.000 0.000
Ga 4.269 5.411 -0.532
Br 3.003 0.385 3.896
Br 0.447 2.604 5.963
Br 10.048 3.449 1.770
Br 10.987 6.552 -0.732
Br 4.161 3.362 1.869
Br 4.009 3.868 5.800
Br 11.259 6.727 3.221
Br 1.386 5.707 3.461
Br 7.425 5.289 -0.569
Br 0.175 2.430 2.010
Br 7.273 5.795 3.363
Br 8.431 8.772 1.336
```



11.
An optimized crystal structure of CaSnPbBr6, computed with PBE-GGA.

Values from the calculation:
uncorrected energy = -61.50 eV/cell

```
18
Lattice="-0.943 4.048 -5.675 -0.155 -5.738 -4.067 -13.400 -0.809 1.650" Properties=species:S:1:pos:R:3 pbc="T T T"
Ca -11.718 -1.519 -3.496
Ca -4.469 -0.270 0.550
Sn -7.252 -1.249 -4.046
Sn -0.003 0.000 0.000
Pb -2.780 -0.980 -4.596
Pb -8.931 -0.539 1.100
Br -6.937 -4.213 -3.567
Br -7.415 1.724 -4.543
Br -13.660 -1.317 -1.314
Br -14.092 -1.982 -5.146
Br -2.581 -3.994 -4.096
Br -3.066 2.030 -5.086
Br -9.313 -1.062 -1.893
Br -9.735 -1.711 -5.638
Br -11.979 1.371 -3.967
Br -11.513 -4.412 -3.017
Br -5.271 -1.462 -6.310
Br -4.822 -0.771 -2.324
```



12.
An optimized crystal structure of CoHRh, computed with PBE-GGA.

Values from the calculation:
uncorrected energy = -106.04 eV/cell

```
18
Lattice="3.822 0.003 0.002 1.910 5.651 0.337 1.908 1.499 7.805" Properties=species:S:1:pos:R:3 pbc="T T T"
Co 2.865 4.947 1.791
Co 2.865 2.718 7.452
Co 4.776 4.796 3.719
Co 2.865 1.014 1.569
Co 2.863 4.587 5.639
Co 4.775 2.873 5.526
Rh 0.953 0.846 3.429
Rh 6.686 6.516 7.690
Rh 2.866 2.939 3.618
Rh 4.774 6.466 5.714
Rh 4.776 2.892 1.644
Rh 4.773 4.422 7.501
H 4.775 4.856 1.797
H 4.776 6.474 7.742
H 6.685 6.544 5.743
H 2.863 2.778 5.530
H 4.777 2.900 3.672
H 2.865 2.967 1.670
```



13.
An optimized crystal structure of Ac2Mg2Hg5, computed with PBE-GGA.

Values from the calculation:
energy of formation = -0.317 eV per atom
uncorrected energy = -15.76 eV/cell

```
9
Lattice="-3.073 0.228 -4.299 -2.735 -4.183 1.733 -5.666 5.504 4.342" Properties=species:S:1:pos:R:3 pbc="T T T"
Ac 0.000 0.000 0.000
Ac -2.833 2.752 2.171
Mg -3.816 -1.092 -0.584
Mg -7.658 2.641 2.360
Hg -3.027 1.562 -1.008
Hg -5.712 4.170 1.050
Hg -2.858 -0.644 2.009
Hg -5.543 1.965 4.067
Hg -5.737 0.775 0.888
```



14.
An optimized crystal structure of Li2AlHg, computed with PBE-GGA.

Values from the calculation:
energy of formation = -0.003 eV per atom
uncorrected energy = -15.77 eV/cell

```
8
Lattice="-0.751 5.596 -4.892 -4.253 -4.356 -4.330 -4.772 1.495 -3.262" Properties=species:S:1:pos:R:3 pbc="T T T"
Li -2.200 3.373 -4.454
Li -3.939 -1.695 -4.093
Li -5.421 1.622 -5.869
Li -7.993 2.170 -10.551
Hg 0.000 0.000 0.000
Hg -4.013 3.855 -6.382
Al -2.502 0.620 -4.611
Al -5.764 -1.121 -6.101
```



15.
An optimized crystal structure of Ca3Si6Pd20, computed with PBE-GGA.

Values from the calculation:
uncorrected energy = -163.48 eV/cell

```
29
Lattice="-1.583 -6.216 5.907 6.634 -4.182 3.813 1.792 1.423 8.414" Properties=species:S:1:pos:R:3 pbc="T T T"
Ca 5.132 -6.732 13.601
Ca 1.711 -2.244 4.534
Ca 0.000 0.000 0.000
Si 5.744 -3.685 10.534
Si 1.098 -5.290 7.600
Si 2.665 -1.744 8.764
Si 1.930 -4.630 11.506
Si 4.913 -4.346 6.628
Si 4.178 -7.232 9.370
Pd 3.459 -2.797 10.857
Pd 4.940 -2.656 8.434
Pd -1.037 -4.073 3.870
Pd 1.250 -5.515 5.185
Pd 1.174 0.932 5.513
Pd 5.691 -5.382 8.735
Pd 3.462 -0.510 6.828
Pd -0.419 -3.582 6.772
Pd 4.346 -2.740 2.498
Pd 0.618 0.491 2.901
Pd 0.628 -1.211 7.550
Pd 2.287 -1.442 1.315
Pd 3.800 -4.884 4.535
Pd -0.546 -2.143 2.037
Pd 2.633 -3.453 6.977
Pd 3.384 -6.179 7.278
Pd 4.210 -5.522 11.157
Pd 1.151 -3.594 9.399
Pd 1.903 -6.319 9.700
Pd 4.964 -2.250 5.400
```



16.
An optimized crystal structure of LaSm4Tl4, computed with PBE-GGA.

Values from the calculation:
energy of formation = -0.191 eV per atom
uncorrected energy = -69.98 eV/cell

```
18
Lattice="-2.469 5.622 0.738 -3.434 -2.612 8.401 7.949 2.945 4.165" Properties=species:S:1:pos:R:3 pbc="T T T"
La 0.000 0.000 0.000
La 1.023 2.977 6.652
Sm 4.252 3.506 7.327
Sm 2.886 5.947 10.071
Sm -1.625 1.124 5.803
Sm 4.720 2.416 3.490
Sm 0.181 2.985 9.885
Sm -0.787 -0.759 9.250
Sm -2.729 4.304 3.798
Sm 1.282 4.294 3.593
Tl -2.864 1.686 8.847
Tl 4.398 5.433 4.610
Tl 2.110 0.503 8.594
Tl 2.104 6.111 6.945
Tl -2.017 4.301 6.945
Tl -0.871 1.983 2.527
Tl 3.427 2.807 10.624
Tl 1.893 0.995 4.125
```



17.
An optimized crystal structure of Th2AlIn8, computed with PBE-GGA.

Values from the calculation:
energy of formation = -0.186 eV per atom
uncorrected energy = -42.54 eV/cell

```
11
Lattice="4.826 0.000 0.000 0.000 4.826 0.000 0.000 0.000 12.423" Properties=species:S:1:pos:R:3 pbc="T T T"
Th 0.000 0.000 3.891
Th 0.000 0.000 8.532
Al 0.000 0.000 0.000
In 0.000 2.413 6.211
In 2.413 0.000 6.211
In 2.413 2.413 3.941
In 2.413 2.413 8.482
In 0.000 2.413 1.584
In 2.413 0.000 1.584
In 0.000 2.413 10.838
In 2.413 0.000 10.838
```



18.
An optimized crystal structure of Ho6ZnTe3Se2, computed with PBE-GGA.

Values from the calculation:
uncorrected energy = -60.70 eV/cell

```
12
Lattice="7.252 0.004 0.005 -3.621 6.284 0.005 -1.206 -2.089 7.013" Properties=species:S:1:pos:R:3 pbc="T T T"
Ho 3.594 2.174 5.474
Ho 2.464 4.267 1.574
Ho -1.169 2.025 1.548
Ho 0.087 4.200 5.474
Ho -0.039 -0.068 5.449
Ho 2.338 -0.001 1.548
Zn 0.000 0.000 0.000
Te -2.357 4.161 3.511
Te 4.783 0.038 3.511
Te 1.213 2.100 3.511
Se 0.018 4.182 0.005
Se 3.614 2.106 0.005
```



19.
An optimized crystal structure of CaY2TmBi4, computed with PBE-GGA.

Values from the calculation:
energy of formation = -0.805 eV per atom
uncorrected energy = -41.36 eV/cell

```
8
Lattice="-3.723 -2.461 0.194 4.285 -6.525 -0.549 -0.845 1.871 7.535" Properties=species:S:1:pos:R:3 pbc="T T T"
Ca 0.281 -4.493 -0.178
Y -2.284 -0.295 3.864
Y 1.720 -2.327 3.493
Tm 0.000 0.000 0.000
Bi -1.021 -2.365 1.841
Bi 0.738 -4.750 5.339
Bi 0.413 -0.193 5.491
Bi 3.027 -4.461 1.495
```



20.
An optimized crystal structure of PrAsH2O4, computed with PBE-GGA.

Values from the calculation:
uncorrected energy = -48.19 eV/cell

```
8
Lattice="-3.183 2.921 2.173 -4.067 1.326 -2.358 -3.880 -1.912 2.268" Properties=species:S:1:pos:R:3 pbc="T T T"
Pr 0.000 0.000 0.000
As -5.565 1.167 1.041
H -3.034 0.398 0.401
H -8.096 1.936 1.681
O -3.614 0.574 1.475
O -8.793 2.933 1.480
O -2.387 0.272 -0.641
O -7.466 0.890 1.851
```